Below is an optimized crystal structure of VOsN2O, with properties calculated at the GGA+U level.

Lattice parameters (Å, degrees): 3.8960 3.8960 3.5881 90.00 90.00 90.00
Last column: nearest neighbours and their distance in Å.
Atoms (fractional coordinates):
V 0.0000 0.0000 0.0000  2 O 1.79, 4 N 1.95
Os 0.5000 0.5000 0.5000  8 N 2.65, 4 O 2.75
N 0.0000 0.5000 0.0000  2 V 1.95
N 0.5000 0.0000 0.0000  2 V 1.95
O 0.0000 0.0000 0.5000  2 V 1.79

Values from the calculation:
The total energy is -7.044 eV per atom. The density of states at the Fermi level comes out at 3.716 states/eV/cell. Its space group is P4/mmm.